DFT (PBE) results for an optimized crystal structure of BeCd.

a = 2.833 Å, b = 10.647 Å, c = 6.208 Å
α = 90.00°, β = 90.00°, γ = 90.00°
Element x y z (fractional)
1 Be 0.500 0.898 0.555
2 Be 0.500 0.102 0.555
3 Be 0.500 0.398 0.055
4 Be 0.500 0.602 0.055
5 Be 0.000 0.000 0.339
6 Be 0.000 0.500 0.839
7 Cd 0.000 0.255 0.793
8 Cd 0.000 0.745 0.793
9 Cd 0.000 0.755 0.293
10 Cd 0.000 0.245 0.293
11 Cd 0.500 0.000 0.966
12 Cd 0.500 0.500 0.466

## Properties
Total energy in eV/atom: -2.0444
E_form in eV per atom: 0.2763